Computed, not measured: an optimized crystal structure of HBr3 at the PBE level of DFT.

Cell and atoms, written as extended XYZ:
```
4
Lattice="1.912 1.104 7.661 -1.912 1.104 7.661 0.000 -2.208 7.661" Properties=species:S:1:pos:R:3 pbc="T T T"
H 0.000 0.000 0.000
Br 0.000 0.000 8.936
Br 0.000 0.000 11.491
Br 0.000 0.000 14.046
```

DOS(E_F) ... 0.742 states/eV per cell
Space-group type ... R-3m, No. 166
Density ... 4118 kg/m³
E_tot ... -1.60 eV per atom